Entry 1:
# La5TlGa4 | Alexandria | PBE | optimized geometry
data_La5TlGa4
_cell_length_a 3.784
_cell_length_b 3.784
_cell_length_c 19.395
_cell_angle_alpha 90.00
_cell_angle_beta 90.00
_cell_angle_gamma 90.00
_space_group_name_H-M_alt 'P 4/m m m'
_space_group_IT_number 123
_space_group_name_Hall '-P 4 2'
loop_
_atom_site_label
_atom_site_fract_x
_atom_site_fract_y
_atom_site_fract_z
La1 0.000 0.000 0.000
La2 0.000 0.000 0.194
La3 0.000 0.000 0.387
Tl1 0.500 0.500 0.500
Ga1 0.500 0.500 0.097
Ga2 0.500 0.500 0.291
# * total moment: 0.000 μB per atom
# * DFT formation energy: -0.541 eV per atom

Entry 2:
# LaTl2Ga | Alexandria | PBE | optimized geometry
data_LaTl2Ga
_cell_length_a 7.615
_cell_length_b 7.615
_cell_length_c 7.615
_cell_angle_alpha 90.00
_cell_angle_beta 90.00
_cell_angle_gamma 90.00
_space_group_name_H-M_alt 'F m -3 m'
_space_group_IT_number 225
_space_group_name_Hall '-F 4 2 3'
loop_
_atom_site_label
_atom_site_fract_x
_atom_site_fract_y
_atom_site_fract_z
La1 0.000 0.000 0.000
Tl1 0.250 0.250 0.250
Ga1 0.000 0.000 0.500
# * total moment: 0.000 μB per atom
# * DFT formation energy: -0.194 eV per atom
# * polymorph energy (0 for the lowest one): 0.175 eV/atom

Entry 3:
# LaTlGa3 | Alexandria | PBE | optimized geometry
data_LaTlGa3
_cell_length_a 5.772
_cell_length_b 5.772
_cell_length_c 5.772
_cell_angle_alpha 90.00
_cell_angle_beta 90.00
_cell_angle_gamma 90.00
_space_group_name_H-M_alt 'P m -3 m'
_space_group_IT_number 221
_space_group_name_Hall '-P 4 2 3'
loop_
_atom_site_label
_atom_site_fract_x
_atom_site_fract_y
_atom_site_fract_z
La1 0.000 0.000 0.000
Tl1 0.500 0.500 0.500
Ga1 0.000 0.000 0.500
# * total moment: 0.000 μB per atom
# * DFT formation energy: 0.592 eV per atom

Entry 4:
# La2TlGa2 | Alexandria | PBE | optimized geometry
data_La2TlGa2
_cell_length_a 3.783
_cell_length_b 3.783
_cell_length_c 19.664
_cell_angle_alpha 90.00
_cell_angle_beta 90.00
_cell_angle_gamma 90.00
_space_group_name_H-M_alt 'I 4/m m m'
_space_group_IT_number 139
_space_group_name_Hall '-I 4 2'
loop_
_atom_site_label
_atom_site_fract_x
_atom_site_fract_y
_atom_site_fract_z
La1 0.000 0.000 0.111
Tl1 0.000 0.000 0.500
Ga1 0.000 0.500 0.250
# * total moment: 0.000 μB per atom
# * DFT formation energy: -0.303 eV per atom
# * polymorph energy (0 for the lowest one): 0.256 eV/atom